Computed, not measured: a PBEsol-optimized structure of Na2Mg5P4O16 at the SCAN level of DFT.

Calculated values
formation energy without anion corrections = -76.62 eV per formula unit

abc: 5.178 7.937 8.129
angles: 110.65 90.46 101.91
Space group P-1 (No. 2)
Inequivalent atoms, fractional coordinates:
Na 0.065 0.037 0.296 x2
Mg 0.137 0.408 0.672 x2
Mg 0.407 0.746 0.220 x2
Mg 0.500 0.000 0.000 x1
P 0.119 0.302 0.029 x2
P 0.368 0.788 0.570 x2
O 0.157 0.494 0.175 x2
O 0.172 0.816 0.437 x2
O 0.182 0.784 0.032 x2
O 0.231 0.631 0.623 x2
O 0.243 0.170 0.085 x2
O 0.258 0.326 0.865 x2
O 0.387 0.247 0.532 x2
O 0.433 0.972 0.734 x2

---

Computed, not measured: a PBEsol-optimized structure of KZrBe2Ga at the SCAN level of DFT.

abc: 4.453 4.453 4.902
angles: 90.00 90.00 90.00
Space group P4/mmm (No. 123)
Inequivalent atoms, fractional coordinates:
K 0.000 0.000 0.000 x1
Zr 0.000 0.000 0.500 x1
Be 0.000 0.500 0.000 x2
Ga 0.500 0.500 0.500 x1

---

Computed, not measured: a PBEsol-optimized structure of SiIrW4 at the SCAN level of DFT.

Calculated values
formation energy without anion corrections = 4.30 eV per formula unit

abc: 7.290 7.290 7.290
angles: 90.00 90.00 90.00
Space group F-43m (No. 216)
Inequivalent atoms, fractional coordinates:
Si 0.000 0.000 0.000 x4
Ir 0.250 0.250 0.750 x4
W 0.126 0.126 0.374 x16

---

Computed, not measured: a PBEsol-optimized structure of Y2GaTcW at the SCAN level of DFT.

abc: 5.143 5.143 4.605
angles: 90.00 90.00 90.00
Space group P4/mmm (No. 123)
Inequivalent atoms, fractional coordinates:
Y 0.000 0.500 0.000 x2
Ga 0.000 0.000 0.000 x1
Tc 0.500 0.500 0.500 x1
W 0.000 0.000 0.500 x1

---

Ordered raw total energy results: -0.6838, -0.7792, -4.3556, -2.5138; unit Ry per atom.